! PBE Pm3Ag4Pd2, optimized geometry; values from VASP
&SYSTEM
  ibrav = 0, nat = 9, ntyp = 3
/
ATOMIC_SPECIES
Pm 145.00 Pm.upf
Ag 107.87 Ag.upf
Pd 106.42 Pd.upf
CELL_PARAMETERS angstrom
4.5309 0.0000 1.0250
2.2591 5.1767 0.5407
0.3531 -1.9201 8.9663
ATOMIC_POSITIONS crystal
Pm 0.4340 0.4360 0.6959
Pm 0.0000 0.0000 0.0000
Pm 0.5660 0.5640 0.3041
Ag 0.2657 0.4136 0.0549
Ag 0.7343 0.5864 0.9451
Ag 0.1873 0.0281 0.5974
Ag 0.8127 0.9719 0.4026
Pd 0.2778 0.1553 0.2892
Pd 0.7222 0.8447 0.7108
! VASP energy = -4.356 eV per atom
! Space-group type = C2/m, No. 12
! Energy of formation = -352 meV/atom

=====

! PBE Pm6AgPd5, optimized geometry; values from VASP
&SYSTEM
  ibrav = 0, nat = 12, ntyp = 3
/
ATOMIC_SPECIES
Pd 106.42 Pd.upf
Ag 107.87 Ag.upf
Pm 145.00 Pm.upf
CELL_PARAMETERS angstrom
-2.1490 -0.9068 4.5620
-3.1719 -5.9335 -2.6738
3.4649 -7.5978 2.9480
ATOMIC_POSITIONS crystal
Pd 0.6604 0.1611 0.6778
Pd 0.3327 0.3326 0.3350
Pd 0.0000 0.5000 0.0000
Pd 0.6673 0.6674 0.6650
Pd 0.3396 0.8389 0.3222
Ag 0.0000 0.0000 0.0000
Pm 0.8301 0.5764 0.3397
Pm 0.8301 0.0839 0.3397
Pm 0.5000 0.7425 0.0000
Pm 0.5000 0.2575 0.0000
Pm 0.1699 0.9161 0.6603
Pm 0.1699 0.4236 0.6603
! VASP energy = -5.455 eV per atom
! Space-group type = C2/m, No. 12
! Energy of formation = -679 meV/atom

=====

! PBE PmAgPd, optimized geometry; values from VASP
&SYSTEM
  ibrav = 0, nat = 6, ntyp = 3
/
ATOMIC_SPECIES
Pm 145.00 Pm.upf
Ag 107.87 Ag.upf
Pd 106.42 Pd.upf
CELL_PARAMETERS angstrom
5.7931 0.0000 0.0000
0.0000 5.0574 -0.0701
0.0000 -2.2366 4.5365
ATOMIC_POSITIONS crystal
Pm 0.2500 0.6589 0.3411
Pm 0.7500 0.3411 0.6589
Ag 0.5000 0.0000 0.0000
Ag 0.0000 0.0000 0.0000
Pd 0.2500 0.3113 0.6887
Pd 0.7500 0.6887 0.3113
! VASP energy = -4.819 eV per atom
! Space-group type = Cmcm, No. 63
! Energy of formation = -554 meV/atom

=====

| no. | relative energy among the computed polymorphs (kJ/mol of formula units) | ρ (g/cm3) |
| --- | --- | --- |
| 1 | 82 | 8.588 |
| 2 | 0 | 8.801 |
| 3 | 0 | 9.039 |